First-principles (PBE) data for CoC3 after structural relaxation, as listed in Alexandria.

Lattice parameters (Å, degrees): 6.5337 6.5337 2.5333 90.00 90.00 142.53
Last column: nearest neighbours and their distance in Å.
Fractional coordinates of all 8 atoms:
1 C 0.5718 0.0916 0.7500  3 C 1.41-1.46
2 C 0.4282 0.9084 0.2500  3 C 1.41-1.46
3 C 0.9084 0.4282 0.7500  3 C 1.41-1.46
4 C 0.0235 0.9765 0.7500  2 C 1.39
5 Co 0.4183 0.5817 0.2500  4 C 2.08-2.22
6 C 0.0916 0.5718 0.2500  3 C 1.41-1.46
7 Co 0.5817 0.4183 0.7500  4 C 2.08-2.22
8 C 0.9765 0.0235 0.2500  2 C 1.39

Formation enthalpy at 0 K, kJ/mol of formula units: 238
DOS(E_F), states/eV/cell: 4.38
Raw total energy, eV per atom: -8.077
Energy relative to the lowest polymorph listed for this composition, eV per formula unit: 0.00
Density, g/cm3: 4.8